Entry 1:
CsBa3F: relaxed, PBE-GGA.

Values from the calculation:
- E above lowest polymorph: 1151 meV per atom
- DOS at the Fermi energy: 8.30 states/eV per cell
- Crystal system: cubic
- Space-group type: Pm-3m (221)
- Formation energy from raw total energies: 0.3277 eV/atom
- Uncorrected energy: -1.371 eV/atom

```
5
Lattice="6.860 0.000 0.000 0.000 6.860 0.000 0.000 0.000 6.860" Properties=species:S:1:pos:R:3 pbc="T T T"
Cs 0.000 0.000 0.000
F 3.430 3.430 3.430
Ba 0.000 0.000 3.430
Ba 3.430 0.000 0.000
Ba 0.000 3.430 0.000
```


Entry 2:
CsBaGaF6: relaxed, PBE-GGA.

Values from the calculation:
- DOS at the Fermi energy: 0.00 states/eV per cell
- Crystal system: trigonal
- Space-group type: P312 (149)
- Formation energy from raw total energies: -3.0932 eV/atom
- Uncorrected energy: -4.986 eV/atom

```
9
Lattice="-0.455 6.086 -1.563 -4.437 3.611 2.639 3.743 1.404 4.369" Properties=species:S:1:pos:R:3 pbc="T T T"
F 2.075 3.312 2.666
F -1.566 4.620 2.377
F 0.790 5.742 2.987
F -0.369 2.135 2.151
F 0.575 4.268 0.661
F -0.057 3.530 4.417
Ba -1.390 7.165 2.900
Ga 0.241 3.935 2.543
Cs -1.148 11.099 5.444
```


Entry 3:
CsBa2GaF8: relaxed, PBE-GGA.

Values from the calculation:
- DOS at the Fermi energy: 0.00 states/eV per cell
- Crystal system: monoclinic
- Space-group type: P2/m (10)
- Formation energy from raw total energies: -3.2325 eV/atom
- Uncorrected energy: -5.124 eV/atom

```
12
Lattice="4.784 -0.479 -0.001 -0.467 5.674 -0.005 0.003 0.008 8.474" Properties=species:S:1:pos:R:3 pbc="T T T"
F 1.658 3.837 4.233
F 4.318 0.803 7.050
F 1.680 0.925 -0.001
F 4.316 0.797 1.420
F 0.004 4.405 7.048
F 2.637 4.270 -0.005
F 0.002 4.400 1.418
F 2.663 1.366 4.235
Ba 2.159 2.599 2.012
Ba 2.161 2.603 6.457
Ga 0.000 0.000 0.000
Cs 0.002 0.004 4.237
```


Entry 4:
Cs3Ba2H4F3: relaxed, PBE-GGA.

Values from the calculation:
- DOS at the Fermi energy: 0.00 states/eV per cell
- Crystal system: orthorhombic
- Space-group type: Imm2 (44)
- Uncorrected energy: -3.663 eV/atom

```
12
Lattice="-2.264 2.281 4.071 -0.132 -4.399 2.391 13.025 3.527 1.962" Properties=species:S:1:pos:R:3 pbc="T T T"
H 4.692 0.930 1.970
H 1.426 1.700 3.206
H 9.161 -0.248 5.295
H 6.018 0.398 6.310
Cs 3.312 -0.147 5.158
Cs 7.366 1.508 3.180
Cs -1.280 -0.977 3.378
F 8.615 3.387 6.707
F 1.664 -1.626 2.346
F -1.948 1.963 3.503
Ba 8.359 0.957 7.468
Ba 2.235 0.488 1.020
```


Entry 5:
CsBa2HgF8: relaxed, PBE-GGA.

Values from the calculation:
- DOS at the Fermi energy: 4.39 states/eV per cell
- Crystal system: triclinic
- Space-group type: P-1 (2)
- Formation energy from raw total energies: -2.7448 eV/atom
- Uncorrected energy: -4.409 eV/atom

```
12
Lattice="-1.811 0.196 -4.154 2.205 -5.764 -0.399 -7.825 -2.879 3.054" Properties=species:S:1:pos:R:3 pbc="T T T"
F -0.112 -4.742 0.222
F -2.734 -1.612 -3.406
F -7.319 -3.706 -1.721
F -8.070 -4.036 1.219
F 0.638 -4.411 -2.718
F -4.698 -6.836 1.907
F -4.200 -2.998 -0.928
F -3.231 -5.450 -0.571
Hg 0.000 0.000 0.000
Ba -1.688 -3.520 -1.512
Ba -5.743 -4.927 0.013
Cs -3.913 -1.440 1.527
```


Entry 6:
CsBaHg2F8: relaxed, PBE-GGA.

Values from the calculation:
- DOS at the Fermi energy: 7.32 states/eV per cell
- Crystal system: tetragonal
- Space-group type: I-4 (82)
- Formation energy from raw total energies: -2.1542 eV/atom
- Uncorrected energy: -3.683 eV/atom

```
12
Lattice="6.605 0.000 0.000 0.000 6.605 0.000 -3.303 -3.303 5.168" Properties=species:S:1:pos:R:3 pbc="T T T"
Hg 0.000 3.303 2.584
Hg 3.303 3.303 0.000
Ba 3.303 0.000 2.584
Cs 0.000 0.000 0.000
F 2.111 0.019 5.066
F -2.111 -0.019 5.066
F 3.284 5.413 0.102
F 4.620 4.315 2.644
F 1.985 2.290 2.644
F 1.013 -1.317 2.525
F -1.013 1.317 2.525
F 3.321 1.192 0.102
```


What did the third record say?
CsBa2GaF8: relaxed, PBE-GGA.

Values from the calculation:
- DOS at the Fermi energy: 0.00 states/eV per cell
- Crystal system: monoclinic
- Space-group type: P2/m (10)
- Formation energy from raw total energies: -3.2325 eV/atom
- Uncorrected energy: -5.124 eV/atom

```
12
Lattice="4.784 -0.479 -0.001 -0.467 5.674 -0.005 0.003 0.008 8.474" Properties=species:S:1:pos:R:3 pbc="T T T"
F 1.658 3.837 4.233
F 4.318 0.803 7.050
F 1.680 0.925 -0.001
F 4.316 0.797 1.420
F 0.004 4.405 7.048
F 2.637 4.270 -0.005
F 0.002 4.400 1.418
F 2.663 1.366 4.235
Ba 2.159 2.599 2.012
Ba 2.161 2.603 6.457
Ga 0.000 0.000 0.000
Cs 0.002 0.004 4.237
```


Number 3 is which compound? CsBa2GaF8


Number 1 is which compound? CsBa3F


Repeat the first record exactly.
CsBa3F: relaxed, PBE-GGA.

Values from the calculation:
- E above lowest polymorph: 1151 meV per atom
- DOS at the Fermi energy: 8.30 states/eV per cell
- Crystal system: cubic
- Space-group type: Pm-3m (221)
- Formation energy from raw total energies: 0.3277 eV/atom
- Uncorrected energy: -1.371 eV/atom

```
5
Lattice="6.860 0.000 0.000 0.000 6.860 0.000 0.000 0.000 6.860" Properties=species:S:1:pos:R:3 pbc="T T T"
Cs 0.000 0.000 0.000
F 3.430 3.430 3.430
Ba 0.000 0.000 3.430
Ba 3.430 0.000 0.000
Ba 0.000 3.430 0.000
```